Zn2CdCo | PBE | optimized geometry

Properties
formation enthalpy at 0 K = 0.208 eV/atom

abc: 9.359 9.359 9.359
angles: 17.24 17.24 17.24
Positions (direct):
Cd 0.492 0.492 0.492
Co 0.744 0.744 0.744
Zn 0.008 0.008 0.008
Zn 0.256 0.256 0.256